Record 1
VASP calculation (PBE) on an optimized crystal structure of NpMn2H9.

Values from the calculation:
For the calculated density, the calculation gives 8.291 Mg/m³. The calculation puts the calculated total energy at -4.939 eV/atom. The size of the total moment is 0.274 μB per atom.

Cell: 4.805 5.954 5.954 Å, 80.63 66.20 66.20°
Site moments in Bohr magnetons follow the coordinates.
Atoms (fractional coordinates):
H1 0.453 0.815 0.424  -0.01
H2 0.453 0.424 0.815  -0.01
H3 0.626 0.076 0.315  -0.01
H4 0.732 0.576 0.815  -0.01
H5 0.626 0.315 0.076  -0.01
H6 0.124 0.185 0.424  -0.01
H7 0.297 0.076 0.685  -0.01
H8 0.018 0.924 0.685  -0.01
H9 0.058 0.924 0.315  -0.01
H10 0.732 0.815 0.576  -0.01
H11 0.692 0.185 0.576  -0.01
H12 0.750 0.500 0.500  -0.01
Mn1 0.875 0.250 0.250  0.02
H13 0.692 0.576 0.185  -0.01
H14 0.000 0.000 0.000  -0.01
Mn2 0.375 0.750 0.750  0.02
H15 0.058 0.315 0.924  -0.01
H16 0.018 0.685 0.924  -0.01
Np1 0.500 0.000 0.000  3.21
Mn3 0.875 0.750 0.250  0.02
H17 0.124 0.424 0.185  -0.01
Mn4 0.875 0.250 0.750  0.02
H18 0.297 0.685 0.076  -0.01
Np2 0.250 0.500 0.500  3.21



Record 2
VASP calculation (PBE) on an optimized crystal structure of CsHoSnSe4.

Values from the calculation:
For the uncorrected formation energy, the calculation gives -1.13 eV per atom. For the calculated density, the calculation gives 5.034 Mg/m³. The calculation puts the calculated total energy at -4.467 eV/atom. The size of the total moment is 0.000 μB per atom.

Cell: 6.984 7.318 9.987 Å, 90.00 108.79 90.00°
Atoms (fractional coordinates):
Se1 0.022 0.988 0.691
Cs1 0.752 0.750 0.947
Se2 0.485 0.750 0.590
Se3 0.022 0.512 0.691
Se4 0.978 0.488 0.309
Ho1 0.786 0.750 0.452
Ho2 0.214 0.250 0.548
Sn1 0.764 0.250 0.656
Sn2 0.236 0.750 0.344
Se5 0.448 0.750 0.183
Se6 0.515 0.250 0.410
Se7 0.552 0.250 0.817
Se8 0.978 0.012 0.309
Cs2 0.248 0.250 0.053



Record 3
VASP calculation (PBE) on an optimized crystal structure of Tm4Cu2C.

Values from the calculation:
For the calculated density, the calculation gives 8.394 Mg/m³. The energy of formation is 8 kJ/mol of atoms. The calculation puts the calculated total energy at -4.959 eV/atom. The size of the total moment is 0.000 μB per atom.

Cell: 4.610 4.610 8.255 Å, 73.78 73.78 90.00°
Atoms (fractional coordinates):
Cu1 0.869 0.869 0.262
Tm1 0.690 0.690 0.620
Tm2 0.000 0.500 0.000
Cu2 0.131 0.131 0.738
Tm3 0.500 0.000 0.000
Tm4 0.310 0.310 0.380
C1 0.000 0.000 0.000



Record 4
VASP calculation (PBE) on an optimized crystal structure of Li8Zn6Rh.

Values from the calculation:
For the calculated density, the calculation gives 3.540 Mg/m³. The energy of formation is -11 kJ/mol of atoms. The calculation puts the calculated total energy at -2.131 eV/atom. The size of the total moment is 0.000 μB per atom.

Cell: 7.512 7.512 6.839 Å, 56.69 56.69 60.00°
Atoms (fractional coordinates):
Zn1 0.367 0.038 0.912
Li1 0.868 0.153 0.610
Zn2 0.962 0.317 0.088
Li2 0.132 0.847 0.390
Li3 0.153 0.369 0.610
Li4 0.369 0.868 0.610
Zn3 0.038 0.683 0.912
Li5 0.631 0.132 0.390
Rh1 0.000 0.000 0.000
Zn4 0.683 0.367 0.912
Zn5 0.317 0.633 0.088
Li6 0.724 0.724 0.828
Zn6 0.633 0.962 0.088
Li7 0.847 0.631 0.390
Li8 0.276 0.276 0.172